Entry 1:
An optimized crystal structure of LaTm2Cd. Source: Alexandria, functional PBE.

a b c (Å): 5.447 5.447 5.447
angles (deg): 60.00 60.00 60.00
Each line ends with the local moment (μB).
Sites, in units of the cell vectors:
Tm 0.250 0.250 0.250  0.56
Tm 0.750 0.750 0.750  0.56
Cd 0.500 0.500 0.500  0.01
La 0.000 0.000 0.000  0.54

Calculated values
space-group type	Fm-3m
excess energy over the best structure of this formula in the dataset	193.1	meV/atom
electronic total energy	-3.644	eV per atom

Entry 2:
An optimized crystal structure of Cd2AgAu. Source: Alexandria, functional PBE.

a b c (Å): 4.790 4.832 6.699
angles (deg): 90.00 90.00 90.00
Sites, in units of the cell vectors:
Cd 0.500 0.216 0.750
Ag 0.500 0.710 0.000
Cd 0.500 0.216 0.250
Ag 0.000 0.290 0.500
Au 0.500 0.712 0.500
Au 0.000 0.288 0.000
Cd 0.000 0.784 0.750
Cd 0.000 0.784 0.250

Calculated values
space-group type	Pmmn
excess energy over the best structure of this formula in the dataset	0.0	meV/atom
electronic total energy	-2.120	eV per atom

Entry 3:
An optimized crystal structure of SiTe. Source: Alexandria, functional PBE.

a b c (Å): 4.147 14.903 4.822
angles (deg): 90.00 115.73 90.00
Sites, in units of the cell vectors:
Si 0.304 0.000 0.916
Te 0.068 0.366 0.055
Si 0.304 0.500 0.416
Te 0.068 0.634 0.055
Si 0.944 0.500 0.694
Si 0.944 0.000 0.194
Te 0.068 0.866 0.555
Te 0.068 0.134 0.555

Calculated values
space-group type	Cm
electronic total energy	-4.248	eV per atom
formation energy from raw total energies	34	meV/atom

Entry 4:
An optimized crystal structure of TbSmPu2P4. Source: Alexandria, functional PBE.

a b c (Å): 4.038 6.993 6.943
angles (deg): 109.62 90.00 90.00
Each line ends with the local moment (μB).
Sites, in units of the cell vectors:
P 0.500 0.750 0.741  -0.10
Sm 0.500 0.500 0.000  0.03
Pu 0.000 0.500 0.500  4.93
P 0.500 0.250 0.259  -0.10
Pu 0.500 0.000 0.500  4.89
P 0.000 0.756 0.261  -0.10
Tb 0.000 0.000 0.000  0.01
P 0.000 0.244 0.739  -0.10

Calculated values
space-group type	P2/m
electronic total energy	-8.828	eV per atom

Entry 5:
An optimized crystal structure of Hg2C. Source: Alexandria, functional PBE.

a b c (Å): 11.637 11.637 11.637
angles (deg): 164.75 164.75 21.63
Sites, in units of the cell vectors:
C 0.750 0.250 0.500
Hg 0.318 0.818 0.500
Hg 0.432 0.432 0.000
Hg 0.568 0.568 0.000
C 0.000 0.000 0.000
Hg 0.182 0.682 0.500

Calculated values
space-group type	I4_1/amd
excess energy over the best structure of this formula in the dataset	1282.3	meV/atom
electronic total energy	-1.522	eV per atom

Entry 6:
An optimized crystal structure of NaSn2SbSe6. Source: Alexandria, functional PBE.

a b c (Å): 7.843 9.226 9.226
angles (deg): 78.81 74.98 74.98
Sites, in units of the cell vectors:
Se 0.559 0.574 0.685
Na 0.250 0.863 0.137
Se 0.059 0.685 0.574
Se 0.901 0.353 0.944
Se 0.441 0.426 0.315
Se 0.599 0.056 0.647
Na 0.750 0.137 0.863
Sn 0.191 0.381 0.194
Sb 0.250 0.244 0.756
Sn 0.809 0.619 0.806
Sn 0.309 0.806 0.619
Se 0.099 0.647 0.056
Se 0.941 0.315 0.426
Sb 0.750 0.756 0.244
Se 0.401 0.944 0.353
Sn 0.691 0.194 0.381
Se 0.864 0.013 0.181
Se 0.364 0.181 0.013
Se 0.636 0.819 0.987
Se 0.136 0.987 0.819

Calculated values
space-group type	C2/c
electronic total energy	-3.845	eV per atom
formation energy from raw total energies	-409	meV/atom

Entry 7:
An optimized crystal structure of LaTbTlCd. Source: Alexandria, functional PBE.

a b c (Å): 5.488 5.488 5.488
angles (deg): 60.00 60.00 60.00
Sites, in units of the cell vectors:
Tl 0.250 0.250 0.250
Tb 0.500 0.500 0.500
La 0.000 0.000 0.000
Cd 0.750 0.750 0.750

Calculated values
space-group type	F-43m
electronic total energy	-3.569	eV per atom

Entry 8:
An optimized crystal structure of ScSbF2. Source: Alexandria, functional PBE.

a b c (Å): 9.746 9.746 9.746
angles (deg): 19.19 19.19 19.19
Each line ends with the local moment (μB).
Sites, in units of the cell vectors:
F 0.129 0.129 0.129  0.02
Sc 0.500 0.500 0.500  0.66
Sb 0.000 0.000 0.000  -0.01
F 0.871 0.871 0.871  0.02

Calculated values
space-group type	R-3m
excess energy over the best structure of this formula in the dataset	0.0	meV/atom
electronic total energy	-5.773	eV per atom
formation energy from raw total energies	-2224	meV/atom

Entry 9:
An optimized crystal structure of NiPt2Rh. Source: Alexandria, functional PBE.

a b c (Å): 6.865 6.865 5.523
angles (deg): 51.57 51.57 90.00
Sites, in units of the cell vectors:
Pt 0.375 0.393 0.750
Pt 0.143 0.625 0.250
Pt 0.607 0.125 0.250
Rh 0.000 0.000 0.000
Pt 0.875 0.857 0.750
Ni 0.250 0.750 0.500
Ni 0.500 0.500 0.000
Rh 0.750 0.250 0.500

Calculated values
space-group type	I-42d
electronic total energy	-5.949	eV per atom

Entry 10:
An optimized crystal structure of RbPaH2F8. Source: Alexandria, functional PBE.

a b c (Å): 5.210 5.210 8.198
angles (deg): 90.00 90.00 120.00
Sites, in units of the cell vectors:
F 0.693 0.021 0.340
Pa 0.000 0.000 0.500
F 0.328 0.307 0.340
F 0.672 0.693 0.660
F 0.307 0.979 0.660
H 0.333 0.667 0.809
F 0.979 0.672 0.340
H 0.667 0.333 0.191
F 0.667 0.333 0.074
Rb 0.000 0.000 0.000
F 0.021 0.328 0.660
F 0.333 0.667 0.926

Calculated values
space-group type	P-3
electronic total energy	-5.603	eV per atom

Entry 11:
An optimized crystal structure of NaZr2Au2. Source: Alexandria, functional PBE.

a b c (Å): 8.642 8.642 2.940
angles (deg): 90.00 90.00 90.00
Sites, in units of the cell vectors:
Au 0.167 0.667 0.500
Au 0.333 0.167 0.500
Au 0.833 0.333 0.500
Au 0.667 0.833 0.500
Zr 0.129 0.371 0.000
Na 0.000 0.000 0.000
Zr 0.629 0.129 0.000
Zr 0.371 0.871 0.000
Zr 0.871 0.629 0.000
Na 0.500 0.500 0.000

Calculated values
space-group type	P4/mbm
excess energy over the best structure of this formula in the dataset	27.0	meV/atom
electronic total energy	-5.239	eV per atom

Entry 12:
An optimized crystal structure of LaHo6S8. Source: Alexandria, functional PBE.

a b c (Å): 7.798 7.798 7.798
angles (deg): 60.00 60.00 60.00
Sites, in units of the cell vectors:
Ho 0.500 0.500 0.000
S 0.750 0.750 0.750
La 0.000 0.000 0.000
Ho 0.500 0.000 0.000
Ho 0.000 0.000 0.500
Ho 0.500 0.000 0.500
S 0.739 0.261 0.739
Ho 0.000 0.500 0.500
S 0.261 0.739 0.739
Ho 0.000 0.500 0.000
S 0.261 0.261 0.739
S 0.250 0.250 0.250
S 0.739 0.739 0.261
S 0.261 0.739 0.261
S 0.739 0.261 0.261

Calculated values
space-group type	Fm-3m
electronic total energy	-6.379	eV per atom
formation energy from raw total energies	-2018	meV/atom

Entry 13:
An optimized crystal structure of Pm5Tm2Sb5. Source: Alexandria, functional PBE.

a b c (Å): 4.424 7.605 12.725
angles (deg): 109.91 90.00 106.91
Sites, in units of the cell vectors:
Sb 0.115 0.230 0.423
Pm 0.274 0.548 0.654
Pm 0.339 0.678 0.963
Pm 0.661 0.322 0.037
Tm 0.048 0.096 0.791
Sb 0.885 0.770 0.577
Pm 0.500 0.000 0.500
Tm 0.952 0.904 0.209
Sb 0.312 0.624 0.213
Pm 0.726 0.452 0.346
Sb 0.000 0.000 0.000
Sb 0.688 0.376 0.787

Calculated values
space-group type	C2/m
electronic total energy	-5.335	eV per atom
formation energy from raw total energies	-893	meV/atom

Entry 14:
An optimized crystal structure of K3CdHg2F9. Source: Alexandria, functional PBE.

a b c (Å): 6.452 6.452 7.870
angles (deg): 90.00 90.00 120.00
Sites, in units of the cell vectors:
F 0.500 0.500 0.000
F 0.841 0.682 0.671
Cd 0.000 0.000 0.500
Hg 0.333 0.667 0.176
Hg 0.667 0.333 0.824
F 0.000 0.500 0.000
F 0.841 0.159 0.671
K 0.000 0.000 0.000
K 0.667 0.333 0.297
K 0.333 0.667 0.703
F 0.159 0.318 0.329
F 0.500 0.000 0.000
F 0.682 0.841 0.329
F 0.318 0.159 0.671
F 0.159 0.841 0.329

Calculated values
space-group type	P-3m1
electronic total energy	-3.558	eV per atom
formation energy from raw total energies	-2115	meV/atom

Entry 15:
An optimized crystal structure of CsRbPb4. Source: Alexandria, functional PBE.

a b c (Å): 6.913 6.913 6.913
angles (deg): 60.00 60.00 60.00
Sites, in units of the cell vectors:
Rb 0.000 0.000 0.000
Pb 0.626 0.122 0.626
Pb 0.122 0.626 0.626
Cs 0.250 0.250 0.250
Pb 0.626 0.626 0.122
Pb 0.626 0.626 0.626

Calculated values
space-group type	F-43m
excess energy over the best structure of this formula in the dataset	12.7	meV/atom
electronic total energy	-2.867	eV per atom

Entry 16:
An optimized crystal structure of TlSb2AsAu. Source: Alexandria, functional PBE.

a b c (Å): 4.245 8.715 7.853
angles (deg): 90.00 90.00 104.10
Sites, in units of the cell vectors:
As 0.000 0.000 0.000
As 0.000 0.000 0.500
Tl 0.496 0.992 0.250
Sb 0.171 0.343 0.522
Sb 0.171 0.343 0.978
Sb 0.829 0.657 0.478
Au 0.700 0.401 0.750
Au 0.300 0.599 0.250
Sb 0.829 0.657 0.022
Tl 0.504 0.008 0.750

Calculated values
space-group type	Cmcm
electronic total energy	-3.620	eV per atom
formation energy from raw total energies	88	meV/atom

Entry 17:
An optimized crystal structure of LaTbZr2. Source: Alexandria, functional PBE.

a b c (Å): 3.390 3.390 11.204
angles (deg): 81.30 81.30 60.00
Sites, in units of the cell vectors:
Zr 0.251 0.251 0.247
La 0.500 0.500 0.500
Zr 0.749 0.749 0.753
Tb 0.000 0.000 0.000

Calculated values
space-group type	R-3m
electronic total energy	-6.482	eV per atom

Entry 18:
An optimized crystal structure of LaH2O. Source: Alexandria, functional PBE.

a b c (Å): 3.881 3.881 3.881
angles (deg): 60.00 60.00 60.00
Each line ends with the local moment (μB).
Sites, in units of the cell vectors:
O 0.000 0.000 0.000  0.38
La 0.500 0.500 0.500  0.03
H 0.750 0.750 0.750  0.08
H 0.250 0.250 0.250  0.08

Calculated values
space-group type	Fm-3m
excess energy over the best structure of this formula in the dataset	84.6	meV/atom
electronic total energy	-5.152	eV per atom

Entry 19:
An optimized crystal structure of NdHoAu6. Source: Alexandria, functional PBE.

a b c (Å): 4.691 5.026 8.432
angles (deg): 85.34 73.85 62.19
Sites, in units of the cell vectors:
Au 0.244 0.873 0.639
Au 0.748 0.621 0.882
Nd 0.000 0.500 0.500
Au 0.252 0.379 0.118
Ho 0.000 0.000 0.000
Au 0.495 0.761 0.249
Au 0.505 0.239 0.751
Au 0.756 0.127 0.361

Calculated values
space-group type	C2/m
electronic total energy	-4.275	eV per atom

Entry 20:
An optimized crystal structure of KTlSb2. Source: Alexandria, functional PBE.

a b c (Å): 5.434 3.480 7.826
angles (deg): 63.65 90.00 90.00
Sites, in units of the cell vectors:
Tl 0.500 0.250 0.250
K 0.500 0.750 0.750
Sb 0.000 0.545 0.455
Sb 0.000 0.955 0.045

Calculated values
space-group type	P2/m
excess energy over the best structure of this formula in the dataset	61.1	meV/atom
electronic total energy	-3.075	eV per atom
formation energy from raw total energies	-148	meV/atom

Entry 21:
An optimized crystal structure of NbAs2PdBr. Source: Alexandria, functional PBE.

a b c (Å): 4.991 4.991 5.166
angles (deg): 90.00 90.00 90.00
Sites, in units of the cell vectors:
Nb 0.000 0.000 0.000
Br 0.000 0.000 0.500
As 0.000 0.500 0.000
Pd 0.500 0.500 0.500
As 0.500 0.000 0.000

Calculated values
space-group type	P4/mmm
excess energy over the best structure of this formula in the dataset	0.0	meV/atom
electronic total energy	-4.797	eV per atom
formation energy from raw total energies	450	meV/atom

Entry 22:
An optimized crystal structure of LiPmPrFe. Source: Alexandria, functional PBE.

a b c (Å): 5.052 5.052 5.052
angles (deg): 60.00 60.00 60.00
Each line ends with the local moment (μB).
Sites, in units of the cell vectors:
Pm 0.250 0.250 0.250  -0.23
Pr 0.750 0.750 0.750  -0.19
Fe 0.500 0.500 0.500  1.60
Li 0.000 0.000 0.000  -0.04

Calculated values
space-group type	F-43m
electronic total energy	-4.794	eV per atom

Entry 23:
An optimized crystal structure of CsAcTe2. Source: Alexandria, functional PBE.

a b c (Å): 4.909 4.909 9.422
angles (deg): 74.88 74.88 60.00
Sites, in units of the cell vectors:
Te 0.266 0.266 0.202
Ac 0.000 0.000 0.000
Te 0.734 0.734 0.798
Cs 0.500 0.500 0.500

Calculated values
space-group type	R-3m
excess energy over the best structure of this formula in the dataset	0.0	meV/atom
electronic total energy	-4.317	eV per atom
formation energy from raw total energies	-1506	meV/atom

Entry 24:
An optimized crystal structure of SrPaPd4. Source: Alexandria, functional PBE.

a b c (Å): 5.512 5.512 5.512
angles (deg): 60.00 60.00 60.00
Each line ends with the local moment (μB).
Sites, in units of the cell vectors:
Pd 0.624 0.127 0.624  -0.03
Pd 0.624 0.624 0.127  -0.03
Pd 0.127 0.624 0.624  -0.03
Pd 0.624 0.624 0.624  -0.03
Sr 0.000 0.000 0.000  0.03
Pa 0.250 0.250 0.250  0.95

Calculated values
space-group type	F-43m
excess energy over the best structure of this formula in the dataset	90.6	meV/atom
electronic total energy	-5.787	eV per atom

Entry 25:
An optimized crystal structure of In3BiB. Source: Alexandria, functional PBE.

a b c (Å): 5.911 5.911 5.911
angles (deg): 90.00 90.00 90.00
Each line ends with the local moment (μB).
Sites, in units of the cell vectors:
B 0.500 0.500 0.500  0.16
In 0.000 0.000 0.500  0.01
In 0.500 0.000 0.000  0.01
In 0.000 0.500 0.000  0.00
Bi 0.000 0.000 0.000  0.01

Calculated values
space-group type	Pm-3m
excess energy over the best structure of this formula in the dataset	1098.2	meV/atom
electronic total energy	-2.243	eV per atom